5
Lattice="-4.037 1.547 1.292 -1.222 -4.292 1.320 1.630 0.805 4.130" Properties=species:S:1:pos:R:3 comment="AlZnCu2P GGA-PBE relaxed" e_tot_ev_per_fu=-14.0 sg="No. 123" volume_a3_per_cell=94.75 dos_at_fermi_per_ev_cell=2.34 pbc="T T T"
Zn -0.611 -2.146 0.660
P -1.814 -0.970 3.371
Cu -2.018 0.773 0.646
Cu 0.815 0.403 2.065
Al 0.000 0.000 0.000